Entry 1:
Below is a geometry-optimized VSbS4 structure, with properties calculated at the GGA-PBE level.

E_tot in eV per cell: -32.573
Uncorrected formation energy in eV/atom: -0.470

Cell: 7.2478 7.2478 6.3432 Å, 113.93 113.93 27.96°
With the nearest neighbours (Å) after each atom.
Fractional positions:
V 0.0000 0.0000 0.0000  6 S 2.35-2.42
Sb 0.5000 0.5000 0.5000  6 S 2.59-2.61
S 0.1116 0.1116 0.8084  1 V 2.35, 2 Sb 2.61
S 0.3934 0.3934 0.7487  2 V 2.42, 1 Sb 2.59
S 0.6066 0.6066 0.2513  2 V 2.42, 1 Sb 2.59
S 0.8884 0.8884 0.1916  1 V 2.35, 2 Sb 2.61



Entry 2:
Below is a geometry-optimized LaGa2Cu6 structure, with properties calculated at the GGA-PBE level.

E_tot in eV per cell: -35.800
Energy of formation from the pure elements in kJ per mole of atoms: -2.6

Cell: 7.0319 7.0319 7.0319 Å, 147.51 125.54 64.86°
With the nearest neighbours (Å) after each atom.
Fractional positions:
La 0.0000 0.0000 0.0000  4 Cu 2.86
Ga 0.3715 0.8715 0.5000  6 Cu 2.51-2.74
Ga 0.6285 0.1285 0.5000  6 Cu 2.51-2.74
Cu 0.0138 0.3079 0.7060  4 Cu 2.40-2.65, 1 Ga 2.51
Cu 0.3236 0.5000 0.8236  3 Cu 2.27-2.40
Cu 0.3981 0.6921 0.7060  4 Cu 2.40-2.65, 1 Ga 2.51
Cu 0.6019 0.3079 0.2940  4 Cu 2.40-2.65, 1 Ga 2.51
Cu 0.6764 0.5000 0.1764  3 Cu 2.27-2.40
Cu 0.9862 0.6921 0.2940  4 Cu 2.40-2.65, 1 Ga 2.51



Entry 3:
Below is a geometry-optimized SrNdAs2 structure, with properties calculated at the GGA-PBE level.

E_tot in eV per cell: -20.159
Energy of formation from the pure elements in kJ per mole of atoms: -106.4
Polymorph energy (0 for the lowest one) in meV per atom: 68

Cell: 7.9654 7.9654 7.9654 Å, 31.26 31.26 31.26°
With the nearest neighbours (Å) after each atom.
Fractional positions:
Sr 0.0000 0.0000 0.0000  6 As 3.17-3.27
Nd 0.8275 0.8275 0.8275  6 As 2.99-3.05
As 0.2395 0.2395 0.2395  3 Nd 3.05, 3 Sr 3.27
As 0.4202 0.4202 0.4202  3 Nd 2.99, 3 Sr 3.17



Entry 4:
Below is a geometry-optimized GdAgAu2 structure, with properties calculated at the GGA-PBE level.

E_tot in eV per cell: -25.593
Energy of formation from the pure elements in kJ per mole of atoms: -50.8

Cell: 3.5939 3.5939 6.4999 Å, 90.00 90.00 90.00°
With the nearest neighbours (Å) after each atom.
Fractional positions:
Gd 0.0000 0.0000 0.0000  8 Au 3.09, 2 Ag 3.25
Ag 0.0000 0.0000 0.5000  8 Au 2.95, 2 Gd 3.25
Au 0.5000 0.5000 0.2700  4 Ag 2.95, 1 Au 2.99, 4 Gd 3.09
Au 0.5000 0.5000 0.7300  4 Ag 2.95, 1 Au 2.99, 4 Gd 3.09



Entry 5:
Below is a geometry-optimized PrNd4Ho4 structure, with properties calculated at the GGA-PBE level.

E_tot in eV per cell: -41.974
Energy of formation from the pure elements in kJ per mole of atoms: 2.0

Cell: 8.0880 8.0880 8.0880 Å, 95.73 95.73 143.14°
With the nearest neighbours (Å) after each atom.
Fractional positions:
Pr 0.0000 0.0000 0.0000  8 Nd 3.63, 4 Ho 3.65
Nd 0.3321 0.3321 0.6642  4 Nd 3.59-3.64, 6 Ho 3.60-3.63, 2 Pr 3.63
Nd 0.3321 0.6679 0.0000  4 Nd 3.59-3.64, 6 Ho 3.60-3.63, 2 Pr 3.63
Nd 0.6679 0.3321 0.0000  4 Nd 3.59-3.64, 6 Ho 3.60-3.63, 2 Pr 3.63
Nd 0.6679 0.6679 0.3358  4 Nd 3.59-3.64, 6 Ho 3.60-3.63, 2 Pr 3.63
Ho 0.0000 0.3364 0.3364  5 Ho 3.55-3.58, 6 Nd 3.60-3.63, 1 Pr 3.65
Ho 0.0000 0.6636 0.6636  5 Ho 3.55-3.58, 6 Nd 3.60-3.63, 1 Pr 3.65
Ho 0.3364 0.0000 0.3364  5 Ho 3.55-3.58, 6 Nd 3.60-3.63, 1 Pr 3.65
Ho 0.6636 0.0000 0.6636  5 Ho 3.55-3.58, 6 Nd 3.60-3.63, 1 Pr 3.65



Entry 6:
Below is a geometry-optimized SiRh5 structure, with properties calculated at the GGA-PBE level.

E_tot in eV per cell: -39.531
Polymorph energy (0 for the lowest one) in meV per atom: 711
Uncorrected formation energy in eV/atom: 0.442

Cell: 5.0610 5.0610 5.0610 Å, 60.00 60.00 60.00°
With the nearest neighbours (Å) after each atom.
Fractional positions:
Si 0.0000 0.0000 0.0000  16 Rh 2.97-3.10
Rh 0.1254 0.6249 0.6249  6 Rh 2.53
Rh 0.2500 0.2500 0.2500  12 Rh 2.97, 4 Si 3.10
Rh 0.6249 0.1254 0.6249  6 Rh 2.53
Rh 0.6249 0.6249 0.1254  6 Rh 2.53
Rh 0.6249 0.6249 0.6249  6 Rh 2.53



Entry 7:
Below is a geometry-optimized PmBiRu structure, with properties calculated at the GGA-PBE level.

E_tot in eV per cell: -18.389
Energy of formation from the pure elements in kJ per mole of atoms: -15.5

Cell: 6.5208 6.5208 6.5208 Å, 149.56 149.56 43.58°
With the nearest neighbours (Å) after each atom.
Fractional positions:
Pm 0.0000 0.0000 0.0000  4 Ru 3.05
Bi 0.7174 0.7174 0.0000  4 Ru 2.89
Ru 0.3473 0.3473 0.0000  4 Bi 2.89, 4 Pm 3.05



Entry 8:
Below is a geometry-optimized MnSbRh2 structure, with properties calculated at the GGA-PBE level.

E_tot in eV per cell: -28.165
Uncorrected formation energy in eV/atom: -0.043

Cell: 4.4612 4.4612 4.4612 Å, 60.00 60.00 60.00°
With the nearest neighbours (Å) after each atom.
Fractional positions:
Mn 0.0000 0.0000 0.0000  4 Sb 2.73, 4 Rh 2.73
Sb 0.7500 0.7500 0.7500  4 Mn 2.73, 4 Rh 2.73
Rh 0.2500 0.2500 0.2500  4 Mn 2.73, 4 Rh 2.73
Rh 0.5000 0.5000 0.5000  4 Sb 2.73, 4 Rh 2.73